1.
HfAlP2Ir | PBE-GGA | optimized geometry

Cell and atoms, written as POSCAR:
```
HfAlP2Ir
1.0
4.4778 0.0000 0.0000
0.0000 4.4778 0.0000
0.0000 0.0000 5.2964
Hf Al P Ir
1 1 2 1
Cartesian
0.0000 0.0000 0.0000
2.2389 2.2389 0.0000
0.0000 2.2389 2.6482
2.2389 0.0000 2.6482
0.0000 0.0000 2.6482
```

Computed properties:
ΔE_f, eV per atom: 0.417
M_tot, μB/atom: 0.000



2.
LiIn2OsO6 | PBE-GGA | optimized geometry

Cell and atoms, written as POSCAR:
```
LiIn2OsO6
1.0
2.7073 1.5631 4.8593
-2.7073 1.5631 4.8593
0.0000 -3.1261 4.8593
Li In Os O
1 2 1 6
Cartesian
0.0000 0.0000 0.0000
0.0000 0.0000 3.8616
0.0000 0.0000 11.2570
0.0000 0.0000 6.8460
-1.5487 0.0390 5.5536
-0.9677 -1.3979 7.8469
0.7406 -1.3607 5.5536
-0.7268 1.5370 7.8469
0.8081 1.3218 5.5536
1.6945 -0.1391 7.8469
```

Computed properties:
Energy relative to the elements, uncorrected, meV/atom: -1373
M_tot, μB/atom: 0.300



3.
OsPt2WBr | PBE-GGA | optimized geometry

Cell and atoms, written as POSCAR:
```
OsPt2WBr
1.0
4.8851 0.0000 0.0000
0.0000 4.8851 0.0000
0.0000 0.0000 4.7781
Os Pt W Br
1 2 1 1
Cartesian
0.0000 0.0000 0.0000
0.0000 2.4426 0.0000
2.4426 0.0000 0.0000
0.0000 0.0000 2.3891
2.4426 2.4426 2.3891
```

Computed properties:
Energy relative to the elements, uncorrected, meV/atom: 1623
M_tot, μB/atom: 0.001



4.
CsNp3Tl2Se8 | PBE-GGA | optimized geometry

Cell and atoms, written as POSCAR:
```
CsNp3Tl2Se8
1.0
4.2330 2.4440 8.3223
-4.2330 2.4440 8.3223
0.0000 -4.8879 8.3223
Cs Np Tl Se
1 3 2 8
Cartesian
0.0000 0.0000 0.0000
0.0000 -2.4448 13.1510
-2.1173 1.2224 13.1510
2.1173 1.2224 13.1509
0.0000 0.0000 9.3426
0.0000 0.0000 18.3311
0.0000 -2.1557 6.3118
-1.8669 1.0778 6.3118
0.0000 0.0000 3.3751
-1.9559 -1.1293 11.6044
1.8669 1.0778 6.3118
0.0000 0.0000 14.6424
1.9559 -1.1293 11.6045
0.0000 2.2585 11.6045
```

Computed properties:
Energy relative to the elements, uncorrected, meV/atom: -913
M_tot, μB/atom: 0.571



5.
Nd3Y3In2 | PBE-GGA | optimized geometry

Cell and atoms, written as POSCAR:
```
Nd3Y3In2
1.0
2.6142 -6.0012 0.0000
2.6142 6.0012 0.0000
0.0000 0.0000 16.2459
Nd Y In
6 6 4
Cartesian
2.6142 5.5296 9.8248
2.6142 5.5296 14.5440
2.6142 2.8252 12.1844
2.6142 -2.8252 4.0615
2.6142 -5.5296 1.7018
2.6142 -5.5296 6.4211
2.6142 1.6913 8.7022
2.6142 1.6913 15.6666
2.6142 0.5269 4.0615
2.6142 -0.5269 12.1844
2.6142 -1.6913 0.5793
2.6142 -1.6913 7.5436
2.6142 3.1781 2.1962
2.6142 3.1781 5.9267
2.6142 -3.1781 10.3191
2.6142 -3.1781 14.0497
```

Computed properties:
ΔE_f, eV per atom: -0.178
ΔE to the lowest computed polymorph, kJ/mol of formula units: 75
M_tot, μB/atom: 0.000



6.
TcNiSe4 | PBE-GGA | optimized geometry

Cell and atoms, written as POSCAR:
```
TcNiSe4
1.0
0.0000 3.9395 3.9395
3.9395 0.0000 3.9395
3.9395 3.9395 0.0000
Tc Ni Se
1 1 4
Cartesian
0.0000 0.0000 0.0000
1.9697 1.9697 1.9697
4.9215 2.9575 2.9575
2.9575 4.9215 2.9575
2.9575 2.9575 4.9215
4.9215 4.9215 4.9215
```

Computed properties:
Energy relative to the elements, uncorrected, meV/atom: 1221
M_tot, μB/atom: 0.846